[1]
A plane-wave DFT calculation with PBE was carried out for a relaxed Hf2Sn2Pt crystal.

Summary:
The total energy comes out at -7.11 eV/atom.

Lattice parameters (Å, degrees): 6.9258 6.9258 4.4005 90.00 90.00 90.00
Space group P4/mbm (No. 127)
Inequivalent atoms, fractional coordinates:
Hf1 0.1632 0.3368 0.0000 [4 per cell]
Sn1 0.1430 0.6430 0.5000 [4 per cell]
Pt1 0.0000 0.0000 0.5000 [2 per cell]


[2]
A plane-wave DFT calculation with PBE was carried out for a relaxed Fe5Ir6Ru crystal.

Summary:
The total energy comes out at -8.76 eV/atom.

Lattice parameters (Å, degrees): 3.7956 7.3959 11.3957 90.00 90.00 90.00
Space group Immm (No. 71)
Inequivalent atoms, fractional coordinates:
Fe1 0.0000 0.0000 0.0000 [2 per cell]
Fe2 0.0000 0.0000 0.3356 [4 per cell]
Fe3 0.0000 0.5000 0.3320 [4 per cell]
Ir1 0.0000 0.2466 0.1675 [8 per cell]
Ir2 0.0000 0.2554 0.5000 [4 per cell]
Ru1 0.0000 0.5000 0.0000 [2 per cell]


[3]
A plane-wave DFT calculation with PBE was carried out for a relaxed TbCe5Sb4 crystal.

Summary:
The total energy comes out at -5.68 eV/atom. Its formation energy from raw total energies is -0.598 eV/atom.

Lattice parameters (Å, degrees): 19.1090 4.3664 8.7089 90.00 106.88 90.00
Space group C2/m (No. 12)
Inequivalent atoms, fractional coordinates:
Tb1 0.0000 0.0000 0.0000 [2 per cell]
Ce1 0.0000 0.0000 0.5000 [2 per cell]
Ce2 0.1599 0.5000 0.8186 [4 per cell]
Ce3 0.1822 0.5000 0.3489 [4 per cell]
Sb1 0.0120 0.5000 0.2556 [4 per cell]
Sb2 0.1690 0.0000 0.0837 [4 per cell]